[1]
VASP calculation (PBE) on a relaxed Zn2In2S crystal.

The structure in POSCAR format:
```
Zn2In2S
1.0
6.934 0.000 0.000
0.000 6.934 0.000
0.000 0.000 4.484
Zn In S
4 4 2
direct
0.132 0.368 0.000
0.368 0.868 0.000
0.632 0.132 0.000
0.868 0.632 0.000
0.175 0.675 0.500
0.325 0.175 0.500
0.675 0.825 0.500
0.825 0.325 0.500
0.000 0.000 0.000
0.500 0.500 0.000
```

formation energy without anion corrections = 41.2 meV/atom
crystal system = tetragonal
polymorph energy (0 for the lowest one) = 0 meV/atom
magnetic moment = 0.0000 μB/atom

=====

[2]
VASP calculation (PBE) on a relaxed RbV2I crystal.

The structure in POSCAR format:
```
RbV2I
1.0
-2.451 2.451 10.113
2.451 -2.451 10.113
2.451 2.451 -10.113
Rb V I
2 4 2
direct
0.375 0.625 0.750
0.625 0.375 0.250
0.000 0.000 0.000
0.000 0.000 0.500
0.000 0.500 0.000
0.500 0.000 0.500
0.125 0.875 0.250
0.875 0.125 0.750
```

formation energy without anion corrections = 1021.1 meV/atom
crystal system = tetragonal
polymorph energy (0 for the lowest one) = 0 meV/atom
magnetic moment = 0.8160 μB/atom

=====

[3]
VASP calculation (PBE) on a relaxed YB2PbO6 crystal.

The structure in POSCAR format:
```
YB2PbO6
1.0
4.049 -5.114 0.000
4.049 5.114 0.000
-1.877 0.000 6.346
Y B Pb O
2 4 2 12
direct
0.082 0.918 0.750
0.918 0.082 0.250
0.095 0.406 0.745
0.406 0.095 0.245
0.594 0.905 0.755
0.905 0.594 0.255
0.400 0.600 0.250
0.600 0.400 0.750
0.018 0.206 0.609
0.019 0.440 0.244
0.206 0.018 0.109
0.299 0.452 0.881
0.440 0.019 0.744
0.452 0.299 0.381
0.548 0.701 0.619
0.560 0.981 0.256
0.701 0.548 0.119
0.794 0.982 0.891
0.981 0.560 0.756
0.982 0.794 0.391
```

formation energy without anion corrections = -2367.8 meV/atom
crystal system = monoclinic
magnetic moment = 0.0000 μB/atom